## BaSc2Te (PBE)

Data for an optimized crystal structure of BaSc2Te.

a b c (Å): 10.2119 10.2119 10.2119
angles (deg): 22.45 22.45 22.45
Fractional coordinates of all 4 atoms:
1 Ba 0.7613 0.7613 0.7613
2 Sc 0.9861 0.9861 0.9861
3 Sc 0.2389 0.2389 0.2389
4 Te 0.5136 0.5136 0.5136

## Properties
Magnetic moment, μB/atom: 0.2850
SG: R3m
Uncorrected formation energy, eV/atom: -0.3117

=====

## NdY2Tm5 (PBE)

Data for an optimized crystal structure of NdY2Tm5.

a b c (Å): 5.6125 8.5601 11.3914
angles (deg): 90.00 90.00 109.16
Fractional coordinates of all 16 atoms:
1 Nd 0.7735 0.5469 0.7500
2 Nd 0.2265 0.4531 0.2500
3 Y 0.7885 0.5769 0.4184
4 Y 0.7885 0.5769 0.0816
5 Y 0.2115 0.4231 0.5816
6 Y 0.2115 0.4231 0.9184
7 Tm 0.9574 0.9144 0.8876
8 Tm 0.9574 0.9144 0.6124
9 Tm 0.4139 0.8274 0.4227
10 Tm 0.4139 0.8274 0.0773
11 Tm 0.6029 0.2062 0.2500
12 Tm 0.3971 0.7938 0.7500
13 Tm 0.5861 0.1726 0.5773
14 Tm 0.5861 0.1726 0.9227
15 Tm 0.0426 0.0856 0.1124
16 Tm 0.0426 0.0856 0.3876

## Properties
Energy relative to the elements, eV per atom: 0.15
Magnetic moment, μB/atom: 0.0000
SG: Cmcm
Distance to the lowest polymorph of the same formula, eV per atom: 0.118